The following is a GGA+U calculation of an optimized crystal structure of KPa2MoO8, from Alexandria via LeMat-Bulk.

Lattice parameters (Å, degrees): 5.080 5.069 7.128 90.03 89.92 88.54
Each line ends with the local moment (μB).
Atoms (fractional coordinates):
O (0.663, 0.670, 0.500)  0.00
O (0.203, 0.793, 0.200)  0.01
O (0.797, 0.207, 0.800)  0.01
O (0.190, 0.807, 0.811)  -0.04
O (0.298, 0.296, 0.000)  0.00
O (0.702, 0.704, 0.000)  0.00
O (0.337, 0.330, 0.500)  0.00
O (0.810, 0.193, 0.189)  -0.04
Pa (0.503, 0.497, 0.751)  0.03
Pa (0.497, 0.503, 0.249)  0.03
K (0.000, 0.000, 0.500)  0.00
Mo (0.000, 0.000, 0.000)  0.97

Values from the calculation:
Volume, Å³ per atom: 15.29
VASP energy, eV per atom: -8.294
Total moment, μB per cell: 1.00
Calculated density, Mg/m³: 6.56